An optimized crystal structure of CaHf2VF. Source: the Alexandria database, functional GGA+U.

```
5
Lattice="-3.3622 -1.3268 3.0042 -3.5830 -1.8529 -4.8284 1.9030 -4.2911 0.2346" Properties=species:S:1:pos:R:3 pbc="T T T"
Ca -1.7915 -0.9264 -2.4142
F -2.5211 -3.7354 -0.7948
Hf 0.9515 -2.1456 0.1173
Hf -1.6811 -0.6634 1.5021
V 0.0000 0.0000 0.0000
```

Computed properties:
The value obtained for the size of the total moment is 0.082 μB/atom. For the total energy, the calculation gives -5.473 eV per atom. The calculated density is 5.58 g/cm³. Its density of states at the Fermi level is 3.71 states/eV/f.u.